## Ca3YGe (GGA-PBE)

Data for a relaxed Ca3YGe crystal.

The space group is Pm-3m (No. 221) and the conventional cell measures 5.7224, 5.7224 and 5.7224 Å, with angles of 90.00, 90.00 and 90.00 degrees. Symmetry generates all atoms from Ca at (0.0000, 0.0000, 0.5000), Y at (0.5000, 0.5000, 0.5000) and Ge at (0.0000, 0.0000, 0.0000).

The formation energy is 20 meV/atom. As for the total magnetization: 0.001 μB/f.u. Its total energy is -3.3970 eV per atom.